Below is a relaxed Cs2CrSbBr6 crystal, with properties calculated at the PBE level.

Properties
The total DFT energy (no corrections) comes out at -35.82 eV per cell. The value obtained for the density of states at the Fermi level is 1.58 states/eV/cell. Its spin magnetization is 5.01 μB/f.u. The value obtained for the formation energy without anion corrections is -1.0325 eV/atom.

Lattice parameters (Å, degrees): 7.941 7.941 7.941 120.08 120.08 89.87
Sites, in units of the cell vectors:
Cs 0.250 0.750 0.500
Cs 0.750 0.250 0.500
Cr 0.000 0.000 0.000
Sb 0.500 0.500 0.000
Br 0.240 0.240 0.480
Br 0.240 0.760 0.000
Br 0.241 0.241 0.000
Br 0.759 0.759 0.000
Br 0.760 0.240 0.000
Br 0.760 0.760 0.520